PBE-GGA Na2CuHgF8, relaxed; DOS(E_F) = 0.037 states/eV per cell; energy relative to the elements, uncorrected = -1.795 eV/atom; size of the total moment = 1.0 μB/f.u.
1.0
-1.908 3.302 -2.116
-1.936 -3.947 -2.991
-6.158 -1.498 4.208
Na F Cu Hg
2 8 1 1
direct
0.530 0.507 0.757
0.470 0.493 0.243
0.874 0.187 0.803
0.126 0.813 0.197
0.663 0.769 0.988
0.407 0.247 0.530
0.337 0.231 0.012
0.091 0.733 0.721
0.909 0.267 0.279
0.593 0.753 0.470
0.000 0.000 0.000
0.000 0.000 0.500